This record from Alexandria via LeMat-Bulk describes BaCaEu after structural relaxation. The functional is PBE.

a = 6.5214 Å, b = 6.5214 Å, c = 3.9586 Å
α = 90.00°, β = 90.00°, γ = 120.00°
Space group P3m1 (No. 156)
Unique sites:
Ba  0.0000  0.0000  0.0000 (multiplicity 1)
Ca  0.6667  0.3333  0.6534 (multiplicity 1)
Eu  0.3333  0.6667  0.3364 (multiplicity 1)

Values from the calculation:
Size of the total moment: 7.459 μB/f.u.
E_tot: -0.1720 Ha/atom
Energy relative to the lowest polymorph listed for this composition: 0.0086 eV/atom
ΔH_f (0 K): 0.052 eV/atom

=====

This record from Alexandria via LeMat-Bulk describes FeCuSe2 after structural relaxation. The functional is PBE.

a = 6.452 Å, b = 6.452 Å, c = 6.452 Å
α = 90.00°, β = 90.00°, γ = 90.00°
Space group F-43m (No. 216)
Unique sites:
Fe  0.000  0.000  0.000 (multiplicity 4)
Cu  0.250  0.250  0.250 (multiplicity 4)
Se  0.000  0.000  0.500 (multiplicity 4)
Se  0.250  0.250  0.750 (multiplicity 4)

Values from the calculation:
E_form (uncorrected): 645 meV per atom
Size of the total moment: 3.306 μB/f.u.
E_tot: -0.1557 Ha/atom